Entry from the Alexandria database: TaPRu2 at its PBEsol-relaxed geometry (SCAN).

Cell lengths 9.5250, 2.9663, 4.4867 Å; angles 90.00, 117.60, 90.00 degrees
With the nearest neighbours (Å) after each atom.
Space group Cm (No. 8)
Symmetry-distinct sites (fractional):
Ta1 0.0000 0.0000 0.0000 x2  2 P 2.51, 6 Ru 2.74-2.81
P1 0.2683 0.0000 0.6534 x2  4 Ru 2.32-2.33, 2 Ta 2.51
Ru1 0.0644 0.5000 0.5636 x2  2 P 2.33
Ru2 0.2830 0.5000 0.2706 x2  2 P 2.32

Values from the calculation:
Fermi-level density of states   0.701 states/eV/atom
Formation enthalpy at 0 K   -0.426 eV per atom
DFT total energy   -37.0846 eV per atom